1.
SiP2C | GGA-PBE | optimized geometry

```
8
Lattice="3.552 0.000 0.000 0.000 5.459 0.000 0.000 0.000 7.030" Properties=species:S:1:pos:R:3 pbc="T T T"
Si 0.000 0.000 0.000
Si 1.776 2.729 3.515
P 0.000 1.176 3.884
P 0.000 4.283 3.884
P 1.776 1.553 0.369
P 1.776 3.905 0.369
C 0.000 0.000 5.187
C 1.776 2.729 1.672
```

Properties
The raw formation energy is 0.49 eV per atom. The value obtained for the uncorrected energy is -47.05 eV per cell. The total moment comes out at 0.0 μB/cell.

---

2.
LaInAs2O8 | GGA-PBE | optimized geometry

```
12
Lattice="-2.538 2.538 5.867 2.538 -2.538 5.867 2.538 2.538 -5.867" Properties=species:S:1:pos:R:3 pbc="T T T"
La 0.000 0.000 0.000
In 2.538 0.000 2.934
As 0.000 0.000 5.867
As 0.000 2.538 2.934
O 1.269 -0.705 4.927
O 1.833 1.269 0.941
O -0.808 1.261 2.072
O 1.269 3.243 -0.941
O 1.277 1.730 3.795
O 0.705 1.269 6.808
O 0.808 3.815 2.072
O -1.277 3.346 3.795
```

Properties
The raw formation energy is -1.80 eV per atom. The value obtained for the uncorrected energy is -78.28 eV per cell. The total moment comes out at 0.0 μB/cell.

---

3.
DyYInPb | GGA-PBE | optimized geometry

```
8
Lattice="4.984 0.000 0.000 0.000 4.984 0.000 0.000 0.000 8.841" Properties=species:S:1:pos:R:3 pbc="T T T"
Dy 0.000 0.000 0.000
Dy 2.492 2.492 4.420
Y 0.000 0.000 4.420
Y 2.492 2.492 0.000
In 0.000 2.492 2.210
In 2.492 0.000 6.631
Pb 0.000 2.492 6.631
Pb 2.492 0.000 2.210
```

Properties
The value obtained for the uncorrected energy is -38.70 eV per cell. The formation energy comes out at -459 meV/atom. The total moment comes out at 0.0 μB/cell.

---

> What is the formula in the third record?

DyYInPb

---

> Among the records above, which one has the lowest uncorrected energy?

LaInAs2O8